A plane-wave DFT calculation with SCAN was carried out for Cs2KLaF6 at its PBEsol-relaxed geometry.

```
Cs2KLaF6
1.0
-2.103 0.870 6.427
0.856 -4.985 4.571
4.565 0.718 5.013
F La K Cs
6 1 1 2
Direct
0.238 0.762 0.238
0.762 0.238 0.238
0.238 0.238 0.762
0.762 0.238 0.762
0.762 0.762 0.238
0.238 0.762 0.762
0.000 0.000 0.000
0.500 0.500 0.500
0.250 0.250 0.250
0.750 0.750 0.750
```

Its space group is Fm-3m (225). The formation energy (no corrections) comes out at -3.497 eV/atom. The value obtained for the total energy is -18.327 eV per atom.

=====

A plane-wave DFT calculation with SCAN was carried out for Cs2KMnF6 at its PBEsol-relaxed geometry.

```
Cs2KMnF6
1.0
6.245 0.000 0.000
-3.123 5.602 -0.016
0.000 3.496 5.175
F Cs Mn K
6 2 1 1
Direct
0.789 0.000 0.789
0.211 0.000 0.789
0.773 0.546 0.227
0.227 0.454 0.773
0.211 0.000 0.211
0.789 0.000 0.211
0.750 0.500 0.750
0.250 0.500 0.250
0.000 0.000 0.000
0.500 0.000 0.500
```

Its space group is I4/mmm (139). The formation energy (no corrections) comes out at -3.025 eV/atom. The value obtained for the total energy is -15.370 eV per atom.

=====

A plane-wave DFT calculation with SCAN was carried out for Cs2KMoF6 at its PBEsol-relaxed geometry.

```
Cs2KMoF6
1.0
-0.090 1.138 6.359
0.460 -4.915 4.168
5.376 -0.777 3.497
Cs F Mo K
2 6 1 1
Direct
0.750 0.750 0.750
0.250 0.250 0.250
0.776 0.224 0.776
0.776 0.224 0.224
0.224 0.776 0.776
0.224 0.224 0.776
0.776 0.776 0.224
0.224 0.776 0.224
0.000 0.000 0.000
0.500 0.500 0.500
```

Its space group is Fm-3m (225). The formation energy (no corrections) comes out at -2.908 eV/atom. The value obtained for the total energy is -16.915 eV per atom.

=====

A plane-wave DFT calculation with SCAN was carried out for Cs2KNF6 at its PBEsol-relaxed geometry.

```
Cs2KNF6
1.0
-1.374 3.747 -4.731
2.616 -0.917 -5.534
-3.405 -2.100 -4.723
F Cs K N
6 2 1 1
Direct
0.208 0.792 0.208
0.792 0.208 0.208
0.208 0.792 0.792
0.208 0.208 0.792
0.792 0.792 0.208
0.792 0.208 0.792
0.750 0.750 0.750
0.250 0.250 0.250
0.500 0.500 0.500
0.000 0.000 0.000
```

Its space group is Fm-3m (225). The formation energy (no corrections) comes out at -1.704 eV/atom. The value obtained for the total energy is -13.152 eV per atom.

=====

A plane-wave DFT calculation with SCAN was carried out for Cs2KZrOF5 at its PBEsol-relaxed geometry.

```
Cs2KZrOF5
1.0
-5.123 -0.045 -4.023
-0.625 -2.299 6.096
-3.472 3.340 4.385
Cs F K O Zr
2 5 1 1 1
Direct
0.743 0.486 0.757
0.243 0.486 0.257
0.230 0.014 0.770
0.784 0.014 0.770
0.230 0.014 0.216
0.220 0.440 0.780
0.784 0.014 0.216
0.501 0.002 0.499
0.782 0.564 0.218
0.983 0.965 0.017
```

Its space group is I4mm (107). The formation energy (no corrections) comes out at -3.365 eV/atom. The value obtained for the total energy is -17.223 eV per atom.

=====

A plane-wave DFT calculation with SCAN was carried out for Cs2KPrF6 at its PBEsol-relaxed geometry.

```
Cs2KPrF6
1.0
-1.153 -5.970 3.014
3.661 -1.831 5.413
-2.887 -0.201 6.138
F Pr Cs K
6 1 2 1
Direct
0.763 0.237 0.763
0.237 0.237 0.763
0.237 0.763 0.237
0.237 0.763 0.763
0.763 0.237 0.237
0.763 0.763 0.237
0.000 0.000 0.000
0.250 0.250 0.250
0.750 0.750 0.750
0.500 0.500 0.500
```

Its space group is Fm-3m (225). The formation energy (no corrections) comes out at -3.467 eV/atom. The value obtained for the total energy is -18.319 eV per atom.

=====

A plane-wave DFT calculation with SCAN was carried out for Cs2KRuF6 at its PBEsol-relaxed geometry.

```
Cs2KRuF6
1.0
-5.213 -3.687 0.080
0.393 -6.041 2.033
-2.642 -1.674 5.567
K F Ru Cs
1 6 1 2
Direct
0.500 0.500 0.500
0.221 0.779 0.779
0.221 0.221 0.779
0.779 0.221 0.221
0.779 0.221 0.779
0.221 0.779 0.221
0.779 0.779 0.221
0.000 0.000 0.000
0.250 0.250 0.250
0.750 0.750 0.750
```

Its space group is Fm-3m (225). The formation energy (no corrections) comes out at -2.608 eV/atom. The value obtained for the total energy is -16.610 eV per atom.

=====

A plane-wave DFT calculation with SCAN was carried out for Cs2KSbF6 at its PBEsol-relaxed geometry.

```
Cs2KSbF6
1.0
6.670 0.000 0.000
3.335 5.777 0.000
3.335 1.926 5.446
F Cs Sb K
6 2 1 1
Direct
0.232 0.232 0.768
0.768 0.232 0.768
0.768 0.232 0.232
0.232 0.768 0.232
0.232 0.768 0.768
0.768 0.768 0.232
0.750 0.750 0.750
0.250 0.250 0.250
0.000 0.000 0.000
0.500 0.500 0.500
```

Its space group is Fm-3m (225). The formation energy (no corrections) comes out at -2.757 eV/atom. The value obtained for the total energy is -17.002 eV per atom.

=====

A plane-wave DFT calculation with SCAN was carried out for Cs2KScF6 at its PBEsol-relaxed geometry.

```
Cs2KScF6
1.0
-4.830 -4.258 -0.479
1.209 -6.322 0.502
-1.961 -3.258 5.218
K F Cs Sc
1 6 2 1
Direct
0.500 0.500 0.500
0.779 0.221 0.221
0.221 0.221 0.779
0.221 0.779 0.221
0.221 0.779 0.779
0.779 0.221 0.779
0.779 0.779 0.221
0.250 0.250 0.250
0.750 0.750 0.750
0.000 0.000 0.000
```

Its space group is Fm-3m (225). The formation energy (no corrections) comes out at -3.561 eV/atom. The value obtained for the total energy is -15.504 eV per atom.

=====

A plane-wave DFT calculation with SCAN was carried out for CsLaSnF2 at its PBEsol-relaxed geometry.

```
CsLaSnF2
1.0
-2.204 -2.464 -3.210
3.643 -2.800 -0.351
-2.630 -4.035 4.903
La F Sn Cs
1 2 1 1
Direct
0.500 0.500 0.500
0.500 0.000 0.000
0.000 0.500 0.000
0.000 0.000 0.000
0.000 0.000 0.500
```

Its space group is P4/mmm (123). The formation energy (no corrections) comes out at -0.527 eV/atom. The value obtained for the total energy is -25.311 eV per atom.

=====

A plane-wave DFT calculation with SCAN was carried out for CsLiF2 at its PBEsol-relaxed geometry.

```
CsLiF2
1.0
5.964 0.000 0.041
2.982 5.787 0.020
0.578 0.000 8.006
Cs Li F
4 4 8
Direct
0.672 0.183 0.932
0.145 0.183 0.568
0.855 0.817 0.432
0.328 0.817 0.068
0.444 0.602 0.640
0.046 0.398 0.140
0.556 0.398 0.360
0.954 0.602 0.860
0.864 0.713 0.080
0.577 0.287 0.580
0.423 0.713 0.420
0.126 0.747 0.750
0.679 0.642 0.750
0.136 0.287 0.920
0.874 0.253 0.250
0.321 0.358 0.250
```

Its space group is C2/c (15). The formation energy (no corrections) comes out at -3.000 eV/atom. The value obtained for the total energy is -14.820 eV per atom. The value obtained for the energy above the most stable polymorph in this dataset is 0 meV/atom.

=====

A plane-wave DFT calculation with SCAN was carried out for Cs2LiF3 at its PBEsol-relaxed geometry.

```
Cs2LiF3
1.0
3.761 0.000 0.000
0.000 5.994 0.000
-1.880 0.000 10.674
F Li Cs
6 2 4
Direct
0.000 0.500 0.000
0.197 0.750 0.393
0.000 0.000 0.000
0.803 0.250 0.607
0.592 0.250 0.184
0.408 0.750 0.816
0.952 0.750 0.904
0.048 0.250 0.096
0.798 0.750 0.597
0.202 0.250 0.403
0.416 0.250 0.833
0.584 0.750 0.167
```

Its space group is Cmcm (63). The formation energy (no corrections) comes out at -2.893 eV/atom. The value obtained for the total energy is -17.665 eV per atom.

=====

A plane-wave DFT calculation with SCAN was carried out for Cs3LiF4 at its PBEsol-relaxed geometry.

```
Cs3LiF4
1.0
5.986 0.000 0.000
-2.993 6.763 0.007
0.000 -2.093 8.522
Li F Cs
2 8 6
Direct
0.081 0.163 0.457
0.919 0.837 0.543
0.765 0.000 0.500
0.235 0.000 0.500
0.794 0.588 0.392
0.089 0.178 0.243
0.911 0.822 0.757
0.206 0.412 0.608
0.644 0.288 0.950
0.356 0.712 0.050
0.427 0.855 0.768
0.311 0.621 0.353
0.867 0.734 0.097
0.689 0.379 0.647
0.133 0.266 0.903
0.573 0.145 0.232
```

Its space group is C2/m (12). The formation energy (no corrections) comes out at -2.904 eV/atom. The value obtained for the total energy is -19.152 eV per atom.

=====

A plane-wave DFT calculation with SCAN was carried out for CsLi3F4 at its PBEsol-relaxed geometry.

```
CsLi3F4
1.0
5.528 0.000 0.000
-2.764 5.045 0.011
0.000 -2.899 7.237
F Cs Li
8 2 6
Direct
0.372 0.243 0.864
0.250 0.000 0.500
0.188 0.377 0.280
0.750 0.000 0.500
0.129 0.757 0.136
0.628 0.757 0.136
0.871 0.243 0.864
0.812 0.623 0.720
0.665 0.330 0.265
0.335 0.670 0.735
0.207 0.414 0.037
0.999 0.998 0.311
0.001 0.002 0.689
0.793 0.586 0.963
0.391 0.782 0.331
0.609 0.218 0.669
```

Its space group is C2/m (12). The formation energy (no corrections) comes out at -3.003 eV/atom. The value obtained for the total energy is -10.396 eV per atom.

=====

A plane-wave DFT calculation with SCAN was carried out for CsLiF2 at its PBEsol-relaxed geometry.

```
CsLiF2
1.0
5.671 0.056 0.083
-2.545 5.068 -0.083
-2.545 -1.963 4.673
F Cs Li
4 2 2
Direct
0.356 0.875 0.731
0.856 0.481 0.125
0.144 0.269 0.625
0.644 0.375 0.519
0.500 0.750 0.250
0.000 0.000 0.000
0.000 0.500 0.500
0.500 0.250 0.750
```

Its space group is I-42d (122). The formation energy (no corrections) comes out at -2.947 eV/atom. The value obtained for the total energy is -14.767 eV per atom. The value obtained for the energy above the most stable polymorph in this dataset is 53 meV/atom.

=====

A plane-wave DFT calculation with SCAN was carried out for Cs2LiNdF6 at its PBEsol-relaxed geometry.

```
Cs2LiNdF6
1.0
-3.967 3.754 -3.054
-6.081 -1.448 -0.291
-4.180 3.393 3.190
F Nd Cs Li
6 1 2 1
Direct
0.257 0.743 0.257
0.743 0.257 0.257
0.743 0.257 0.743
0.743 0.743 0.257
0.257 0.257 0.743
0.257 0.743 0.743
0.000 0.000 0.000
0.750 0.750 0.750
0.250 0.250 0.250
0.500 0.500 0.500
```

Its space group is Fm-3m (225). The formation energy (no corrections) comes out at -3.496 eV/atom. The value obtained for the total energy is -17.780 eV per atom.

=====

A plane-wave DFT calculation with SCAN was carried out for CsRb2LiF at its PBEsol-relaxed geometry.

```
CsRb2LiF
1.0
5.076 0.000 0.000
0.000 7.919 0.000
0.000 0.000 7.919
Li Rb F Cs
1 2 1 1
Direct
0.500 0.500 0.500
0.000 0.500 0.000
0.000 0.000 0.500
0.500 0.000 0.000
0.000 0.000 0.000
```

Its space group is P4/mmm (123). The formation energy (no corrections) comes out at -0.698 eV/atom. The value obtained for the total energy is -17.741 eV per atom.

=====

A plane-wave DFT calculation with SCAN was carried out for Cs2LiSbF6 at its PBEsol-relaxed geometry.

```
Cs2LiSbF6
1.0
-0.420 0.549 -6.170
1.345 -4.843 -3.646
-4.533 -2.924 -3.075
F Li Cs Sb
6 1 2 1
Direct
0.748 0.748 0.252
0.252 0.252 0.748
0.748 0.252 0.748
0.252 0.748 0.252
0.252 0.748 0.748
0.748 0.252 0.252
0.500 0.500 0.500
0.250 0.250 0.250
0.750 0.750 0.750
0.000 0.000 0.000
```

Its space group is Fm-3m (225). The formation energy (no corrections) comes out at -2.753 eV/atom. The value obtained for the total energy is -16.404 eV per atom.

=====

A plane-wave DFT calculation with SCAN was carried out for Cs3MgF at its PBEsol-relaxed geometry.

```
Cs3MgF
1.0
7.288 0.000 0.000
0.000 7.288 0.000
0.000 0.000 7.288
Cs F Mg
3 1 1
Direct
0.500 0.000 0.000
0.000 0.000 0.500
0.000 0.500 0.000
0.500 0.500 0.500
0.000 0.000 0.000
```

Its space group is Pm-3m (221). The formation energy (no corrections) comes out at -0.289 eV/atom. The value obtained for the total energy is -24.678 eV per atom.

=====

A plane-wave DFT calculation with SCAN was carried out for CsMgRuF2 at its PBEsol-relaxed geometry.

```
CsMgRuF2
1.0
4.944 0.000 0.000
0.000 4.944 0.000
0.000 0.000 5.174
Cs F Ru Mg
1 2 1 1
Direct
0.000 0.000 0.000
0.500 0.000 0.000
0.000 0.500 0.000
0.000 0.000 0.500
0.500 0.500 0.500
```

Its space group is P4/mmm (123). The formation energy (no corrections) comes out at 0.022 eV/atom. The value obtained for the total energy is -16.916 eV per atom.